## LiTiTeO6 (PBE)

Data for a geometry-optimized LiTiTeO6 structure.

Its formation energy without anion corrections is -1420 kJ/mol of formula units.

The structure belongs to space group P-31c (No. 163); the cell edges are 5.2172, 5.2172 and 9.1746 Å and the angles 90.00°, 90.00° and 120.00°. The inequivalent atoms are Li at (0.0000, 0.0000, 0.0000), Ti at (0.3333, 0.6667, 0.2500), Te at (0.3333, 0.6667, 0.7500) and O at (0.0046, 0.3656, 0.6355).

## PrAl2Si2 (PBE)

Data for a geometry-optimized PrAl2Si2 structure.

Its formation energy without anion corrections is -188 kJ/mol of formula units.

The structure belongs to space group P-3m1 (No. 164); the cell edges are 4.2344, 4.2344 and 6.8947 Å and the angles 90.00°, 90.00° and 120.00°. The inequivalent atoms are Pr at (0.0000, 0.0000, 0.0000), Al at (0.3333, 0.6667, 0.6398) and Si at (0.3333, 0.6667, 0.2701).

## CeSbPdO (PBE)

Data for a geometry-optimized CeSbPdO structure.

Its formation energy without anion corrections is -574 kJ/mol of formula units.

The structure belongs to space group I4mm (No. 107); the cell edges are 3.4072, 3.4072 and 14.3626 Å and the angles 90.00°, 90.00° and 90.00°. The inequivalent atoms are Ce at (0.0000, 0.0000, 0.0000), Sb at (0.0000, 0.0000, 0.7469), Pd at (0.0000, 0.0000, 0.3405) and O at (0.0000, 0.0000, 0.5078).

## Tb2TmTh3Te6 (PBE)

Data for a geometry-optimized Tb2TmTh3Te6 structure.

Its formation energy without anion corrections is -1312 kJ/mol of formula units.

The structure belongs to space group C2/m (No. 12); the cell edges are 19.9304, 4.2375 and 9.1941 Å and the angles 90.00°, 111.05° and 90.00°. The inequivalent atoms are Tb at (0.1675, 0.0000, 0.3339), Tm at (0.0000, 0.5000, 0.0000), Th at (0.0000, 0.5000, 0.5000), Th at (0.1679, 0.0000, 0.8337), Te at (0.0023, 0.0000, 0.2387), Te at (0.1617, 0.5000, 0.0884) and Te at (0.1692, 0.5000, 0.5757).

## SrMnZn (PBE)

Data for a geometry-optimized SrMnZn structure.

For the formation enthalpy at 0 K, the calculation gives 0.46 eV/atom.

The structure belongs to space group F-43m (No. 216); the cell edges are 6.9592, 6.9592 and 6.9592 Å and the angles 90.00°, 90.00° and 90.00°. The inequivalent atoms are Sr at (0.0000, 0.0000, 0.0000), Mn at (0.0000, 0.0000, 0.5000) and Zn at (0.2500, 0.2500, 0.2500).

## SrAlTlS3 (PBE)

Data for a geometry-optimized SrAlTlS3 structure.

Its formation energy without anion corrections is -600 kJ/mol of formula units.

The structure belongs to space group C2/m (No. 12); the cell edges are 15.8507, 4.8927 and 8.3803 Å and the angles 90.00°, 102.95° and 90.00°. The inequivalent atoms are Sr at (0.1456, 0.0000, 0.0701), Al at (0.0151, 0.5000, 0.7640), Tl at (0.1553, 0.0000, 0.5570), S at (0.0089, 0.0000, 0.7492), S at (0.1290, 0.5000, 0.2728) and S at (0.1601, 0.5000, 0.8418).

no.,total moment (μB/cell)
1,2.09
2,0.00
3,1.88
4,0.00
5,15.34
6,0.00